A plane-wave DFT calculation with PBE-GGA was carried out for a relaxed NbCrCu2 crystal.

Results
DOS(E_F) ... 2.59 states/eV/f.u.
E_form ... 0.58 eV/atom
Uncorrected energy ... -6.388 eV/atom

The structure in CIF format:
```
data_NbCrCu2
_cell_length_a 3.532
_cell_length_b 3.532
_cell_length_c 18.985
_cell_angle_alpha 90.00
_cell_angle_beta 90.00
_cell_angle_gamma 90.00
_symmetry_space_group_name_H-M 'I -4 2 d'
_symmetry_Int_Tables_number 122
_symmetry_space_group_name_Hall 'I -4 2bw'
loop_
_atom_site_label
_atom_site_fract_x
_atom_site_fract_y
_atom_site_fract_z
_atom_site_occupancy
Nb1 0.000 0.000 0.000 1
Cr1 0.000 0.000 0.500 1
Cu1 0.237 0.250 0.625 1
```